No. 1
A plane-wave DFT calculation with PBE-GGA was carried out for a relaxed Er3TmSn2C crystal.

a = 8.5738 Å, b = 8.5738 Å, c = 8.5738 Å
α = 147.99°, β = 147.87°, γ = 45.98°
Atoms (fractional coordinates):
Er 0.0000 0.0000 0.0000
Er 0.3417 0.8417 0.5000
Er 0.6583 0.1583 0.5000
Tm 0.5000 0.5000 0.0000
Sn 0.1406 0.6406 0.5000
Sn 0.8594 0.3594 0.5000
C 0.5000 0.0000 0.5000

Its space group is Immm (71). The total magnetic moment comes out at 0.000 μB/atom. Its calculated formation energy is -687 meV/atom. The calculation puts the total energy at -5.742 eV/atom. As for the theoretical density: 8.6 g/cm3.

***

No. 2
A plane-wave DFT calculation with PBE-GGA was carried out for a relaxed YEr2SnC crystal.

a = 4.8413 Å, b = 4.8413 Å, c = 4.8915 Å
α = 90.00°, β = 90.00°, γ = 90.00°
Atoms (fractional coordinates):
Y 0.0000 0.0000 0.0000
Er 0.0000 0.5000 0.5000
Er 0.5000 0.0000 0.5000
Sn 0.5000 0.5000 0.0000
C 0.0000 0.0000 0.5000

Its space group is P4/mmm (123). The total magnetic moment comes out at 0.000 μB/atom. Its calculated formation energy is -655 meV/atom. The calculation puts the total energy at -6.418 eV/atom. As for the theoretical density: 8.0 g/cm3.

***

No. 3
A plane-wave DFT calculation with PBE-GGA was carried out for a relaxed Y2ErSnC crystal.

a = 4.8963 Å, b = 4.8963 Å, c = 4.8459 Å
α = 90.00°, β = 90.00°, γ = 90.00°
Atoms (fractional coordinates):
Y 0.0000 0.5000 0.0000
Y 0.5000 0.0000 0.0000
Er 0.0000 0.0000 0.5000
Sn 0.5000 0.5000 0.5000
C 0.0000 0.0000 0.0000

Its space group is P4/mmm (123). The total magnetic moment comes out at 0.000 μB/atom. Its calculated formation energy is -657 meV/atom. The calculation puts the total energy at -6.800 eV/atom. As for the theoretical density: 6.8 g/cm3.

***

No. 4
A plane-wave DFT calculation with PBE-GGA was carried out for a relaxed SrEr2C crystal.

a = 10.0858 Å, b = 10.0858 Å, c = 10.0858 Å
α = 20.61°, β = 20.61°, γ = 20.61°
Atoms (fractional coordinates):
Sr 0.0000 0.0000 0.0000
Er 0.1222 0.1222 0.1222
Er 0.8778 0.8778 0.8778
C 0.5000 0.5000 0.5000

Its space group is R-3m (166). The total magnetic moment comes out at 0.003 μB/atom. Its calculated formation energy is -76 meV/atom. The calculation puts the total energy at -5.083 eV/atom. As for the theoretical density: 6.5 g/cm3.

***

No. 5
A plane-wave DFT calculation with PBE-GGA was carried out for a relaxed SrErC crystal.

a = 9.7221 Å, b = 9.7221 Å, c = 9.9241 Å
α = 91.24°, β = 91.24°, γ = 23.70°
Atoms (fractional coordinates):
Sr 0.0799 0.0799 0.3706
Sr 0.3986 0.3986 0.1390
Sr 0.6014 0.6014 0.8610
Sr 0.9201 0.9201 0.6294
Er 0.2215 0.2215 0.1213
Er 0.2290 0.2290 0.6259
Er 0.7710 0.7710 0.3741
Er 0.7785 0.7785 0.8787
C 0.2011 0.2011 0.8754
C 0.2095 0.2095 0.3681
C 0.7905 0.7905 0.6319
C 0.7989 0.7989 0.1246

Its space group is C2/m (12). The total magnetic moment comes out at 0.000 μB/atom. Its calculated formation energy is 55 meV/atom. The calculation puts the total energy at -5.101 eV/atom. As for the theoretical density: 4.7 g/cm3.

***

No. 6
A plane-wave DFT calculation with PBE-GGA was carried out for a relaxed ErTaC2 crystal.

a = 6.0765 Å, b = 6.0765 Å, c = 6.0765 Å
α = 31.11°, β = 31.11°, γ = 31.11°
Atoms (fractional coordinates):
Er 0.0000 0.0000 0.0000
Ta 0.1740 0.1740 0.1740
C 0.5774 0.5774 0.5774
C 0.7667 0.7667 0.7667

Its space group is R3m (160). The total magnetic moment comes out at 0.000 μB/atom. Its calculated formation energy is -280 meV/atom. The calculation puts the total energy at -8.996 eV/atom. As for the theoretical density: 11.6 g/cm3.